Below is an optimized crystal structure of CoSn3W, with properties calculated at the PBEsol level.

a = 5.1740 Å, b = 5.1740 Å, c = 5.1740 Å
α = 90.00°, β = 90.00°, γ = 90.00°
Fractional positions:
Co1 0.0000 0.0000 0.0000
Sn1 0.0000 0.5000 0.5000
Sn2 0.5000 0.0000 0.5000
Sn3 0.5000 0.5000 0.0000
W1 0.5000 0.5000 0.5000

E_form: 1.1937 eV/atom
Fermi-level density of states: 1.445 states/eV per atom
calculated total energy: -5.671 eV/atom

***

Below is an optimized crystal structure of Co2RhBr, with properties calculated at the PBEsol level.

a = 4.5521 Å, b = 4.5521 Å, c = 4.5521 Å
α = 130.50°, β = 130.50°, γ = 72.60°
Fractional positions:
Co1 0.2500 0.7500 0.5000
Co2 0.7500 0.2500 0.5000
Rh1 0.0000 0.0000 0.0000
Br1 0.5000 0.5000 0.0000

Fermi-level density of states: 1.312 states/eV per atom
formation energy without anion corrections: 745 meV/atom
calculated total energy: -5.626 eV/atom

***

Which formula does entry 2 have?
Co2RhBr